DFT (PBE+U) results for a geometry-optimized MnCo2O6 structure.

Cell: 4.9691 4.9691 10.0808 Å, 90.00 90.00 120.05°
Element x y z (fractional)
1 Mn 0.5000 0.5000 0.5000
2 Mn 0.0000 0.0000 0.0000
3 Co 0.8333 0.1667 0.5000
4 Co 0.3333 0.6667 0.0000
5 Co 0.6667 0.3333 0.0000
6 Co 0.1667 0.8333 0.5000
7 O 0.6613 0.6613 0.0942
8 O 0.8387 0.8387 0.5942
9 O 0.1613 0.1613 0.4058
10 O 0.5000 0.8385 0.4059
11 O 0.3387 0.3387 0.9058
12 O 0.6615 0.0000 0.9059
13 O 0.0000 0.3385 0.0941
14 O 0.1615 0.5000 0.5941
15 O 0.5000 0.1615 0.5941
16 O 0.8385 0.5000 0.4059
17 O 0.0000 0.6615 0.9059
18 O 0.3385 0.0000 0.0941

Values from the calculation:
E_tot	-6.1541	eV per atom
crystal system	orthorhombic